A geometry-optimized SrPaTe2 structure, computed with GGA-PBE.

It has space group P4/mmm (No. 123), with a = 3.860 Å, b = 3.860 Å, c = 7.923 Å, α = 90.00°, β = 90.00° and γ = 90.00°. Symmetry generates all atoms from Sr at (0.000, 0.000, 0.000), Pa at (0.000, 0.000, 0.500) and Te at (0.500, 0.500, 0.273).

Its energy relative to the elements, uncorrected is -984 meV per atom. The total energy is -0.3932 Ry per atom. Its density is 8.07 g/cm³.


A geometry-optimized SrPa2Te6 structure, computed with GGA-PBE.

It has space group C2/m (No. 12), with a = 15.009 Å, b = 5.947 Å, c = 10.409 Å, α = 90.00°, β = 124.88° and γ = 90.00°. Symmetry generates all atoms from Sr at (0.000, 0.000, 0.000), Pa at (0.180, 0.000, 0.599), Te at (0.037, 0.000, 0.712), Te at (0.145, 0.500, 0.076) and Te at (0.205, 0.500, 0.574).

Its energy relative to the elements, uncorrected is -865 meV per atom. The total energy is -0.3864 Ry per atom. Its density is 5.73 g/cm³.


A geometry-optimized SrPaTe2 structure, computed with GGA-PBE.

It has space group R-3m (No. 166, hexagonal axes), with a = 4.3479 Å, b = 4.3479 Å, c = 24.0547 Å, α = 90.00°, β = 90.00° and γ = 120.00°. Symmetry generates all atoms from Sr at (0.0000, 0.0000, 0.0000), Pa at (0.0000, 0.0000, 0.5000) and Te at (0.0000, 0.0000, 0.2461).

Its energy relative to the elements, uncorrected is -1058 meV per atom. The total energy is -0.3986 Ry per atom. Its density is 7.26 g/cm³.


A geometry-optimized Sr2Pa2Te7 structure, computed with GGA-PBE.

It has space group Cmmm (No. 65), with a = 9.797 Å, b = 11.155 Å, c = 7.791 Å, α = 90.00°, β = 90.00° and γ = 90.00°. Symmetry generates all atoms from Sr at (0.248, 0.000, 0.000), Pa at (0.000, 0.227, 0.500), Te at (0.000, 0.000, 0.273), Te at (0.000, 0.500, 0.500) and Te at (0.250, 0.250, 0.254).

Its energy relative to the elements, uncorrected is -967 meV per atom. The total energy is -0.3674 Ry per atom. Its density is 5.97 g/cm³.


A geometry-optimized Sr2Pa2Te7 structure, computed with GGA-PBE.

It has space group Imm2 (No. 44), with a = 4.464 Å, b = 16.731 Å, c = 9.805 Å, α = 90.00°, β = 90.00° and γ = 90.00°. Symmetry generates all atoms from Sr at (0.000, 0.240, 0.000), Pa at (0.000, 0.000, 0.762), Pa at (0.000, 0.500, 0.811), Te at (0.000, 0.000, 0.080), Te at (0.000, 0.100, 0.485), Te at (0.000, 0.331, 0.706) and Te at (0.000, 0.378, 0.306).

Its energy relative to the elements, uncorrected is -1060 meV per atom. The total energy is -0.3743 Ry per atom. Its density is 6.94 g/cm³.


A geometry-optimized Sr2PaTe5 structure, computed with GGA-PBE.

It has space group Cmcm (No. 63), with a = 6.304 Å, b = 16.092 Å, c = 14.128 Å, α = 90.00°, β = 90.00° and γ = 90.00°. Symmetry generates all atoms from Sr at (0.000, 0.161, 0.070), Pa at (0.000, 0.187, 0.750), Te at (0.000, 0.035, 0.630), Te at (0.000, 0.300, 0.250) and Te at (0.000, 0.309, 0.593).

Its energy relative to the elements, uncorrected is -1063 meV per atom. The total energy is -0.3406 Ry per atom. Its density is 4.84 g/cm³.


A geometry-optimized Sr2PaTe5 structure, computed with GGA-PBE.

It has space group P4/mmm (No. 123), with a = 7.687 Å, b = 7.687 Å, c = 5.655 Å, α = 90.00°, β = 90.00° and γ = 90.00°. Symmetry generates all atoms from Sr at (0.000, 0.500, 0.000), Pa at (0.000, 0.000, 0.500), Te at (0.000, 0.000, 0.000) and Te at (0.273, 0.273, 0.500).

Its energy relative to the elements, uncorrected is -885 meV per atom. The total energy is -0.3275 Ry per atom. Its density is 5.19 g/cm³.


A geometry-optimized SrPaTe3 structure, computed with GGA-PBE.

It has space group P2_1/m (No. 11), with a = 8.418 Å, b = 4.967 Å, c = 11.531 Å, α = 90.00°, β = 105.12° and γ = 90.00°. Symmetry generates all atoms from Sr at (0.222, 0.250, 0.429), Pa at (0.377, 0.250, 0.843), Te at (0.054, 0.250, 0.663), Te at (0.286, 0.750, 0.962) and Te at (0.437, 0.750, 0.341).

Its energy relative to the elements, uncorrected is -979 meV per atom. The total energy is -0.3748 Ry per atom. Its density is 5.00 g/cm³.